Material: Be2H2F7
Method: DFT, PBE
State: optimized geometry

- Uncorrected energy: -105.0 eV for the cell shown

POSCAR file:
```
Be2H2F7
1.0
6.813 -0.532 0.188
-1.698 6.620 0.188
1.718 2.045 6.555
Be H F
4 4 14
direct
0.312 0.116 0.167
0.116 0.312 0.667
0.884 0.688 0.333
0.688 0.884 0.833
0.630 0.810 0.531
0.190 0.370 0.969
0.810 0.630 0.031
0.370 0.190 0.469
0.859 0.517 0.543
0.252 0.320 0.104
0.420 0.130 0.336
0.101 0.899 0.250
0.517 0.859 0.043
0.320 0.252 0.604
0.130 0.420 0.836
0.870 0.580 0.164
0.680 0.748 0.396
0.483 0.141 0.957
0.899 0.101 0.750
0.580 0.870 0.664
0.748 0.680 0.896
0.141 0.483 0.457
```

Material: BeH2F
Method: DFT, PBE
State: optimized geometry

- N(E_F): 0.9 states/eV/cell
- Uncorrected energy: -27.7 eV for the cell shown

POSCAR file:
```
BeH2F
1.0
2.706 0.000 0.000
0.000 2.706 0.000
1.353 1.353 6.598
Be H F
2 4 2
direct
0.500 0.500 0.000
0.250 0.750 0.500
0.375 0.125 0.250
0.375 0.625 0.250
0.375 0.625 0.750
0.875 0.625 0.750
0.000 0.000 0.000
0.750 0.250 0.500
```

Material: Be4H7F
Method: DFT, PBE
State: optimized geometry

- N(E_F): 0.0 states/eV/cell
- Uncorrected energy: -90.6 eV for the cell shown

POSCAR file:
```
Be4H7F
1.0
-4.003 0.517 0.703
-0.957 -2.553 -3.573
-0.034 -9.422 6.741
Be H F
8 14 2
direct
0.731 0.495 0.911
0.040 0.834 0.248
0.540 0.166 0.252
0.231 0.505 0.589
0.231 0.505 0.411
0.731 0.495 0.089
0.040 0.834 0.752
0.540 0.166 0.748
0.957 0.695 0.142
0.457 0.305 0.358
0.480 0.354 0.844
0.980 0.646 0.656
0.980 0.646 0.344
0.480 0.354 0.156
0.383 0.886 0.767
0.883 0.114 0.733
0.883 0.114 0.267
0.383 0.886 0.233
0.557 0.666 0.000
0.057 0.334 0.500
0.957 0.695 0.858
0.457 0.305 0.642
0.416 0.712 0.500
0.916 0.288 0.000
```

Material: Be2HF6
Method: DFT, PBE
State: optimized geometry

- N(E_F): 10.6 states/eV/cell
- Uncorrected energy: -87.0 eV for the cell shown

POSCAR file:
```
Be2HF6
1.0
5.113 -0.132 -0.127
1.347 6.279 0.386
1.347 0.590 6.263
Be H F
4 2 12
direct
0.261 0.603 0.799
0.239 0.201 0.397
0.739 0.397 0.201
0.761 0.799 0.603
0.250 0.235 0.765
0.750 0.765 0.235
0.538 0.652 0.671
0.962 0.329 0.348
0.462 0.348 0.329
0.038 0.671 0.652
0.782 0.872 0.349
0.718 0.651 0.128
0.218 0.128 0.651
0.282 0.349 0.872
0.197 0.710 0.000
0.303 0.000 0.290
0.803 0.290 0.000
0.697 0.000 0.710
```

Material: BeHF
Method: DFT, PBE
State: optimized geometry

- N(E_F): 0.0 states/eV/cell
- Uncorrected energy: -13.1 eV for the cell shown

POSCAR file:
```
BeHF
1.0
4.607 0.000 0.000
0.000 2.511 0.000
0.000 -1.255 2.174
Be H F
1 1 1
direct
0.337 0.667 0.333
0.526 0.333 0.667
0.137 0.000 0.000
```

Material: Be2H6F
Method: DFT, PBE
State: optimized geometry

- N(E_F): 0.5 states/eV/cell
- Uncorrected energy: -23.3 eV for the cell shown

POSCAR file:
```
Be2H6F
1.0
3.517 0.000 2.031
1.172 3.316 2.031
0.000 0.000 4.061
Be H F
2 6 1
direct
0.750 0.750 0.750
0.250 0.250 0.250
0.332 0.668 0.668
0.668 0.668 0.332
0.668 0.332 0.668
0.668 0.332 0.332
0.332 0.332 0.668
0.332 0.668 0.332
0.000 0.000 0.000
```